[1]
First-principles (PBE) data for Nd3Pd4 after structural relaxation, as listed in Alexandria.

DOS at the Fermi energy ... 9.2 states/eV per cell
Calculated density ... 8.79 g/cm³
V ... 23.16 A^3/atom
Spin magnetization ... 0.0 μB/cell
Total energy ... -5.80 eV per atom
Energy of formation from the pure elements ... -0.794 eV per atom
SG ... No. 63

a = 4.0290 Å, b = 5.7022 Å, c = 15.0861 Å
α = 90.00°, β = 90.00°, γ = 110.69°
Closest atoms and distances in Å follow each position.
Atoms (fractional coordinates):
1 Nd 0.6637 0.3274 0.0960  8 Pd 3.02-3.12
2 Nd 0.3388 0.6776 0.9047  8 Pd 3.02-3.12
3 Nd 0.6636 0.3272 0.4047  8 Pd 3.02-3.12
4 Nd 0.3385 0.6770 0.5960  8 Pd 3.02-3.12
5 Nd 0.9368 0.8737 0.2503  7 Pd 2.95-3.12
6 Nd 0.0654 0.1309 0.7504  7 Pd 2.95-3.12
7 Pd 0.2130 0.4260 0.2503  2 Pd 2.83, 7 Nd 2.95-3.12
8 Pd 0.7893 0.5787 0.7503  2 Pd 2.83, 7 Nd 2.95-3.12
9 Pd 0.3797 0.7594 0.1044  3 Pd 2.83-2.86, 6 Nd 3.03-3.06
10 Pd 0.0013 0.0026 0.0003  4 Pd 2.86, 4 Nd 3.02
11 Pd 0.3796 0.7592 0.3963  3 Pd 2.83-2.86, 6 Nd 3.03-3.06
12 Pd 0.6228 0.2456 0.8963  3 Pd 2.83-2.86, 6 Nd 3.03-3.06
13 Pd 0.0011 0.0022 0.5004  4 Pd 2.86, 4 Nd 3.02
14 Pd 0.6225 0.2450 0.6044  3 Pd 2.83-2.86, 6 Nd 3.03-3.06

[2]
First-principles (PBE) data for Cs2ZrI5Cl after structural relaxation, as listed in Alexandria.

DOS at the Fermi energy ... 0.0 states/eV per cell
Formation energy from raw total energies ... -1369 meV per atom
Calculated density ... 4.06 g/cm³
V ... 46.62 A^3/atom
Spin magnetization ... 0.0 μB/cell
Total energy ... -3.58 eV per atom
SG ... No. 107

a = 8.3656 Å, b = 8.3656 Å, c = 8.3656 Å
α = 91.59°, β = 119.08°, γ = 119.08°
Closest atoms and distances in Å follow each position.
Atoms (fractional coordinates):
1 Cs 0.5000 0.2475 0.7475  10 I 4.18-4.24, 2 Cl 4.26
2 Cs 0.5000 0.7475 0.2475  10 I 4.18-4.24, 2 Cl 4.26
3 Zr 0.0000 0.9926 0.9926  1 Cl 2.45
4 I 0.4832 0.2387 0.2387  1 Zr 2.90
5 I 0.5168 0.7555 0.7555  1 Zr 2.90
6 I 0.0000 0.7555 0.2387  1 Zr 2.90
7 I 0.0000 0.2387 0.7555  1 Zr 2.90
8 I 0.0000 0.2413 0.2413  1 Zr 2.90
9 Cl 0.0000 0.7828 0.7828  1 Zr 2.45

[3]
First-principles (PBE) data for FeCo3Ni2 after structural relaxation, as listed in Alexandria.

DOS at the Fermi energy ... 15.4 states/eV per cell
Calculated density ... 8.74 g/cm³
V ... 11.09 A^3/atom
Spin magnetization ... 18.4 μB/cell
Total energy ... -6.90 eV per atom
Energy of formation from the pure elements ... -0.008 eV per atom
SG ... No. 65

a = 3.5765 Å, b = 3.5081 Å, c = 10.6059 Å
α = 90.00°, β = 90.00°, γ = 90.00°
Closest atoms and distances in Å follow each position.
Atoms (fractional coordinates):
1 Fe 0.9998 0.5000 0.5000  4 Ni 2.50, 8 Co 2.50-2.53
2 Fe 0.0002 0.0000 0.0000  4 Ni 2.50, 8 Co 2.50-2.53
3 Co 0.4999 0.5000 0.6682  4 Co 2.47-2.50, 6 Ni 2.49-2.50, 2 Fe 2.53
4 Co 0.4998 0.0000 0.5000  4 Co 2.50, 4 Fe 2.50-2.51, 4 Ni 2.52
5 Co 0.4999 0.5000 0.3318  4 Co 2.47-2.50, 6 Ni 2.49-2.50, 2 Fe 2.53
6 Co 0.5001 0.0000 0.1682  4 Co 2.47-2.50, 6 Ni 2.49-2.50, 2 Fe 2.53
7 Co 0.5002 0.5000 0.0000  4 Co 2.50, 4 Fe 2.50-2.51, 4 Ni 2.52
8 Co 0.5001 0.0000 0.8318  4 Co 2.47-2.50, 6 Ni 2.49-2.50, 2 Fe 2.53
9 Ni 0.9999 0.0000 0.6680  2 Ni 2.47, 8 Co 2.49-2.52, 2 Fe 2.50
10 Ni 0.9999 0.0000 0.3320  2 Ni 2.47, 8 Co 2.49-2.52, 2 Fe 2.50
11 Ni 0.0001 0.5000 0.1680  2 Ni 2.47, 8 Co 2.49-2.52, 2 Fe 2.50
12 Ni 0.0001 0.5000 0.8320  2 Ni 2.47, 8 Co 2.49-2.52, 2 Fe 2.50

[4]
First-principles (PBE) data for Hg3SbBr2 after structural relaxation, as listed in Alexandria.

DOS at the Fermi energy ... 2.3 states/eV per cell
Formation energy from raw total energies ... -193 meV per atom
Calculated density ... 8.25 g/cm³
V ... 29.63 A^3/atom
Spin magnetization ... 0.0 μB/cell
Total energy ... -1.59 eV per atom
SG ... No. 71

a = 4.1373 Å, b = 6.0400 Å, c = 8.0001 Å
α = 112.18°, β = 104.99°, γ = 90.00°
Closest atoms and distances in Å follow each position.
Atoms (fractional coordinates):
1 Hg 0.6473 0.6473 0.2947  2 Sb 2.94, 4 Br 3.01-3.11
2 Hg 0.0000 0.0000 0.0000  2 Sb 3.02
3 Hg 0.3527 0.3527 0.7053  2 Sb 2.94, 4 Br 3.01-3.11
4 Sb 0.0000 0.5000 0.0000  6 Hg 2.94-3.02
5 Br 0.3009 0.8009 0.6017  4 Hg 3.01-3.11
6 Br 0.6991 0.1991 0.3983  4 Hg 3.01-3.11